[1]
# LaTb3Pr5 | the Alexandria database | PBE | relaxed
# **Crystal system**: monoclinic
# **D(E_F)**: 14.48 states/eV/f.u.
# **Total magnetization**: 0.00 Bohr magnetons per cell
# **Calculated total energy**: -0.1583 hartree per atom
# **ΔE to the lowest computed polymorph**: 1.57 eV/f.u.
data_LaTb3Pr5
_space_group_name_H-M_alt 'C 1 2/m 1'
_space_group_IT_number 12
_space_group_name_Hall '-C 2y'
_cell_length_a 15.497
_cell_length_b 11.827
_cell_length_c 9.990
_cell_angle_alpha 90.00
_cell_angle_beta 129.58
_cell_angle_gamma 90.00
loop_
_atom_site_label
_atom_site_type_symbol
_atom_site_fract_x
_atom_site_fract_y
_atom_site_fract_z
La1 La 0.249 0.000 0.419
Tb1 Tb 0.000 0.000 0.000
Tb2 Tb 0.000 0.500 0.500
Tb3 Tb 0.004 0.500 0.822
Tb4 Tb 0.013 0.000 0.351
Pr1 Pr 0.000 0.254 0.000
Pr2 Pr 0.139 0.251 0.737
Pr3 Pr 0.228 0.000 0.056
Pr4 Pr 0.229 0.500 0.229


[2]
# La3Tb2Pr7 | the Alexandria database | PBE | relaxed
# **Crystal system**: monoclinic
# **D(E_F)**: 19.52 states/eV/f.u.
# **Total magnetization**: 0.00 Bohr magnetons per cell
# **Calculated total energy**: -0.1735 hartree per atom
# **ΔE to the lowest computed polymorph**: 0.00 eV/f.u.
data_La3Tb2Pr7
_space_group_name_H-M_alt 'P 1 2/m 1'
_space_group_IT_number 10
_space_group_name_Hall '-P 2y'
_cell_length_a 6.606
_cell_length_b 3.630
_cell_length_c 18.131
_cell_angle_alpha 90.00
_cell_angle_beta 96.22
_cell_angle_gamma 90.00
loop_
_atom_site_label
_atom_site_type_symbol
_atom_site_fract_x
_atom_site_fract_y
_atom_site_fract_z
La1 La 0.000 0.000 0.000
La2 La 0.043 0.500 0.661
Tb1 Tb 0.450 0.000 0.330
Pr1 Pr 0.232 0.500 0.169
Pr2 Pr 0.246 0.000 0.502
Pr3 Pr 0.274 0.000 0.831
Pr4 Pr 0.500 0.500 0.000


[3]
# La3Tb2Pr4 | the Alexandria database | PBE | relaxed
# **Crystal system**: monoclinic
# **D(E_F)**: 15.48 states/eV/f.u.
# **Total magnetization**: 0.00 Bohr magnetons per cell
# **Calculated total energy**: -0.1756 hartree per atom
data_La3Tb2Pr4
_space_group_name_H-M_alt 'C 1 2/m 1'
_space_group_IT_number 12
_space_group_name_Hall '-C 2y'
_cell_length_a 15.688
_cell_length_b 5.225
_cell_length_c 8.248
_cell_angle_alpha 90.00
_cell_angle_beta 108.66
_cell_angle_gamma 90.00
loop_
_atom_site_label
_atom_site_type_symbol
_atom_site_fract_x
_atom_site_fract_y
_atom_site_fract_z
La1 La 0.000 0.000 0.000
La2 La 0.112 0.000 0.669
Tb1 Tb 0.168 0.500 0.999
Pr1 Pr 0.056 0.500 0.331
Pr2 Pr 0.221 0.000 0.330


[4]
# La12Tb2Pr5 | the Alexandria database | PBE | relaxed
# **Crystal system**: monoclinic
# **D(E_F)**: 32.39 states/eV/f.u.
# **Total magnetization**: 0.00 Bohr magnetons per cell
# **Calculated total energy**: -0.1732 hartree per atom
# **ΔE to the lowest computed polymorph**: 1.24 eV/f.u.
data_La12Tb2Pr5
_space_group_name_H-M_alt 'C 1 2/m 1'
_space_group_IT_number 12
_space_group_name_Hall '-C 2y'
_cell_length_a 19.558
_cell_length_b 7.590
_cell_length_c 10.333
_cell_angle_alpha 90.00
_cell_angle_beta 114.95
_cell_angle_gamma 90.00
loop_
_atom_site_label
_atom_site_type_symbol
_atom_site_fract_x
_atom_site_fract_y
_atom_site_fract_z
La1 La 0.009 0.000 0.332
La2 La 0.010 0.500 0.219
La3 La 0.159 0.250 0.850
La4 La 0.168 0.263 0.503
Tb1 Tb 0.000 0.203 0.000
Pr1 Pr 0.000 0.500 0.500
Pr2 Pr 0.175 0.500 0.165
Pr3 Pr 0.176 0.000 0.198